This record from Alexandria describes ZrPOsCl2 after structural relaxation. The functional is PBE.

a = 4.6892 Å, b = 4.6892 Å, c = 4.6589 Å
α = 90.00°, β = 90.00°, γ = 90.00°
Element x y z (fractional)
P 0.0000 0.0000 0.5000
Zr 0.5000 0.5000 0.5000
Cl 0.5000 0.0000 0.0000
Os 0.0000 0.0000 0.0000
Cl 0.0000 0.5000 0.0000

Computed properties:
**Uncorrected formation energy**: 554 meV/atom
**Distance to the lowest polymorph of the same formula**: 0.0000 eV/atom
**Space group**: No. 123